Version one
Compound: Ca3Ag2Hg4
Source: Alexandria
Functional: PBE-GGA
Structure: relaxed

It has space group C2/m (No. 12), with a = 9.6852 Å, b = 5.4744 Å, c = 9.5347 Å, α = 90.00°, β = 119.71° and γ = 90.00°. The asymmetric unit holds Ca at (0.0000, 0.0000, 0.0000), Ca at (0.1708, 0.5000, 0.3335), Ag at (0.1552, 0.5000, 0.6601), Hg at (0.0055, 0.0000, 0.3364) and Hg at (0.1671, 0.5000, 0.9916).

Its crystal system is monoclinic. The spin magnetization comes out at 0.00 μB/atom.

Version two
Compound: Ca3Ag2Hg4
Source: Alexandria
Functional: PBE-GGA
Structure: relaxed

It has space group C2/m (No. 12), with a = 11.2471 Å, b = 4.8812 Å, c = 9.3758 Å, α = 90.00°, β = 117.40° and γ = 90.00°. The asymmetric unit holds Ca at (0.0000, 0.0000, 0.0000), Ca at (0.1672, 0.5000, 0.6642), Ag at (0.1082, 0.5000, 0.2763), Hg at (0.0600, 0.0000, 0.3896) and Hg at (0.2157, 0.5000, 0.0572).

Its crystal system is monoclinic. The spin magnetization comes out at 0.00 μB/atom.

Top of the stability list: version two, leading by 9 meV/atom.

Version one
Compound: CaAgHg4
Source: Alexandria
Functional: PBE-GGA
Structure: relaxed

It has space group Cmc2_1 (No. 36), with a = 5.1407 Å, b = 16.1783 Å, c = 7.1089 Å, α = 90.00°, β = 90.00° and γ = 90.00°. The asymmetric unit holds Ca at (0.0000, 0.1655, 0.0000), Ag at (0.0000, 0.3398, 0.7907), Hg at (0.0000, 0.0275, 0.3339), Hg at (0.0000, 0.2078, 0.4946), Hg at (0.0000, 0.3518, 0.2013) and Hg at (0.0000, 0.4741, 0.5278).

Its crystal system is orthorhombic. The spin magnetization comes out at 0.00 μB/atom.

Version two
Compound: CaAgHg4
Source: Alexandria
Functional: PBE-GGA
Structure: relaxed

It has space group P2_1/m (No. 11), with a = 5.5370 Å, b = 6.5204 Å, c = 8.4809 Å, α = 90.00°, β = 103.10° and γ = 90.00°. The asymmetric unit holds Ca at (0.2076, 0.2500, 0.3703), Ag at (0.3969, 0.2500, 0.0254), Hg at (0.1115, 0.7500, 0.0101), Hg at (0.2032, 0.7500, 0.3856) and Hg at (0.3234, 0.0114, 0.7158).

Its crystal system is monoclinic. The spin magnetization comes out at 0.00 μB/atom.

Version three
Compound: CaAgHg4
Source: Alexandria
Functional: PBE-GGA
Structure: relaxed

It has space group F-43m (No. 216), with a = 8.4159 Å, b = 8.4159 Å, c = 8.4159 Å, α = 90.00°, β = 90.00° and γ = 90.00°. The asymmetric unit holds Ca at (0.0000, 0.0000, 0.0000), Ag at (0.2500, 0.2500, 0.2500) and Hg at (0.1248, 0.1248, 0.6248).

Its crystal system is cubic. The spin magnetization comes out at 0.00 μB/atom.

Top of the stability list: version one, leading by 19 meV/atom.

Version one
Compound: Ca4AgHg3
Source: Alexandria
Functional: PBE-GGA
Structure: relaxed

It has space group I4/mmm (No. 139), with a = 5.3211 Å, b = 5.3211 Å, c = 15.1482 Å, α = 90.00°, β = 90.00° and γ = 90.00°. The asymmetric unit holds Ca at (0.0000, 0.5000, 0.1234), Ag at (0.0000, 0.0000, 0.0000), Hg at (0.0000, 0.0000, 0.2489) and Hg at (0.0000, 0.0000, 0.5000).

Its crystal system is tetragonal. The spin magnetization comes out at 0.00 μB/atom.

Version two
Compound: Ca4AgHg3
Source: Alexandria
Functional: PBE-GGA
Structure: relaxed

It has space group Pmm2 (No. 25), with a = 4.1036 Å, b = 4.7818 Å, c = 11.6799 Å, α = 90.00°, β = 90.00° and γ = 90.00°. The asymmetric unit holds Ca at (0.0000, 0.0000, 0.0000), Ca at (0.0000, 0.5000, 0.2799), Ca at (0.5000, 0.0000, 0.4933), Ca at (0.5000, 0.5000, 0.7836), Ag at (0.5000, 0.0000, 0.2163), Hg at (0.0000, 0.0000, 0.7253), Hg at (0.0000, 0.5000, 0.5530) and Hg at (0.5000, 0.5000, 0.0622).

Its crystal system is orthorhombic. The spin magnetization comes out at 0.00 μB/atom.

Top of the stability list: version one, leading by 20 meV/atom.